Below is an optimized crystal structure of Mg4Cu3Ir, with properties calculated at the GGA-PBE level.

Cell and atoms, written as CIF:
```
data_Mg4Cu3Ir
_symmetry_space_group_name_H-M 'P m m a'
_symmetry_Int_Tables_number 51
_symmetry_space_group_name_Hall '-P 2a 2a'
_cell_length_a 9.017
_cell_length_b 6.093
_cell_length_c 4.511
_cell_angle_alpha 90.00
_cell_angle_beta 90.00
_cell_angle_gamma 90.00
loop_
_atom_site_label
_atom_site_type_symbol
_atom_site_fract_x
_atom_site_fract_y
_atom_site_fract_z
Mg1 Mg 0.000 0.246 0.000
Mg2 Mg 0.250 0.246 0.493
Cu1 Cu 0.000 0.500 0.500
Cu2 Cu 0.250 0.000 0.990
Cu3 Cu 0.250 0.500 0.992
Ir1 Ir 0.000 0.000 0.500
```

The density of states at the Fermi level is 0.35 states/eV per atom. The formation energy is -0.174 eV per atom. Its crystal system is orthorhombic.

Below is an optimized crystal structure of NiB2H6, with properties calculated at the GGA-PBE level.

Cell and atoms, written as CIF:
```
data_NiB2H6
_symmetry_space_group_name_H-M 'C 1 2/c 1'
_symmetry_Int_Tables_number 15
_symmetry_space_group_name_Hall '-C 2yc'
_cell_length_a 8.882
_cell_length_b 9.297
_cell_length_c 4.867
_cell_angle_alpha 90.00
_cell_angle_beta 123.10
_cell_angle_gamma 90.00
loop_
_atom_site_label
_atom_site_type_symbol
_atom_site_fract_x
_atom_site_fract_y
_atom_site_fract_z
Ni1 Ni 0.000 0.000 0.250
B1 B 0.197 0.093 0.196
H1 H 0.124 0.210 0.125
H2 H 0.141 0.407 0.643
H3 H 0.209 0.001 0.958
```

The density of states at the Fermi level is 0.02 states/eV per atom. Its crystal system is monoclinic. The excess energy over the best structure of this formula in the dataset is 0 meV per atom.

Below is an optimized crystal structure of La4Tb2Er3, with properties calculated at the GGA-PBE level.

Cell and atoms, written as CIF:
```
data_La4Tb2Er3
_symmetry_space_group_name_H-M 'C 1 2/m 1'
_symmetry_Int_Tables_number 12
_symmetry_space_group_name_Hall '-C 2y'
_cell_length_a 17.570
_cell_length_b 3.556
_cell_length_c 9.909
_cell_angle_alpha 90.00
_cell_angle_beta 100.89
_cell_angle_gamma 90.00
loop_
_atom_site_label
_atom_site_type_symbol
_atom_site_fract_x
_atom_site_fract_y
_atom_site_fract_z
La1 La 0.003 0.000 0.331
La2 La 0.161 0.000 0.219
Tb1 Tb 0.176 0.000 0.881
Er1 Er 0.000 0.500 0.000
Er2 Er 0.166 0.500 0.551
```

The density of states at the Fermi level is 1.65 states/eV per atom. The formation energy is 0.067 eV per atom. Its crystal system is monoclinic. The excess energy over the best structure of this formula in the dataset is 6 meV per atom.

Below is an optimized crystal structure of CoB4Mo, with properties calculated at the GGA-PBE level.

Cell and atoms, written as CIF:
```
data_CoB4Mo
_symmetry_space_group_name_H-M 'P b a m'
_symmetry_Int_Tables_number 55
_symmetry_space_group_name_Hall '-P 2 2ab'
_cell_length_a 5.775
_cell_length_b 11.272
_cell_length_c 3.028
_cell_angle_alpha 90.00
_cell_angle_beta 90.00
_cell_angle_gamma 90.00
loop_
_atom_site_label
_atom_site_type_symbol
_atom_site_fract_x
_atom_site_fract_y
_atom_site_fract_z
Co1 Co 0.141 0.091 0.000
B1 B 0.018 0.805 0.500
B2 B 0.119 0.951 0.500
B3 B 0.126 0.533 0.500
B4 B 0.201 0.689 0.500
Mo1 Mo 0.149 0.340 0.000
```

The density of states at the Fermi level is 0.40 states/eV per atom. The formation energy is -0.119 eV per atom. Its crystal system is orthorhombic.

Below is an optimized crystal structure of Dy2TiAl2Ir5, with properties calculated at the GGA-PBE level.

Cell and atoms, written as CIF:
```
data_Dy2TiAl2Ir5
_symmetry_space_group_name_H-M 'P 4/m b m'
_symmetry_Int_Tables_number 127
_symmetry_space_group_name_Hall '-P 4 2ab'
_cell_length_a 9.870
_cell_length_b 9.870
_cell_length_c 3.476
_cell_angle_alpha 90.00
_cell_angle_beta 90.00
_cell_angle_gamma 90.00
loop_
_atom_site_label
_atom_site_type_symbol
_atom_site_fract_x
_atom_site_fract_y
_atom_site_fract_z
Dy1 Dy 0.174 0.326 0.000
Ti1 Ti 0.000 0.000 0.000
Al1 Al 0.125 0.625 0.000
Ir1 Ir 0.000 0.500 0.500
Ir2 Ir 0.065 0.797 0.500
```

The density of states at the Fermi level is 0.42 states/eV per atom. The formation energy is -0.829 eV per atom. Its crystal system is tetragonal.

Below is an optimized crystal structure of Tb2CeZr, with properties calculated at the GGA-PBE level.

Cell and atoms, written as CIF:
```
data_Tb2CeZr
_symmetry_space_group_name_H-M 'R -3 m'
_symmetry_Int_Tables_number 166
_symmetry_space_group_name_Hall '-R 3 2"'
_cell_length_a 3.3277
_cell_length_b 3.3277
_cell_length_c 35.6884
_cell_angle_alpha 90.00
_cell_angle_beta 90.00
_cell_angle_gamma 120.00
loop_
_atom_site_label
_atom_site_type_symbol
_atom_site_fract_x
_atom_site_fract_y
_atom_site_fract_z
Tb1 Tb 0.0000 0.0000 0.0874
Ce1 Ce 0.0000 0.0000 0.5000
Zr1 Zr 0.0000 0.0000 0.0000
```

The density of states at the Fermi level is 1.43 states/eV per atom. The formation energy is 0.303 eV per atom. Its crystal system is trigonal. The excess energy over the best structure of this formula in the dataset is 183 meV per atom.

Below is an optimized crystal structure of HoEr2Tl2, with properties calculated at the GGA-PBE level.

Cell and atoms, written as CIF:
```
data_HoEr2Tl2
_symmetry_space_group_name_H-M 'P -1'
_symmetry_Int_Tables_number 2
_symmetry_space_group_name_Hall '-P 1'
_cell_length_a 5.221
_cell_length_b 6.596
_cell_length_c 9.052
_cell_angle_alpha 103.19
_cell_angle_beta 90.01
_cell_angle_gamma 113.26
loop_
_atom_site_label
_atom_site_type_symbol
_atom_site_fract_x
_atom_site_fract_y
_atom_site_fract_z
Ho1 Ho 0.065 0.132 0.355
Er1 Er 0.250 0.500 0.750
Er2 Er 0.432 0.866 0.144
Tl1 Tl 0.137 0.272 0.045
Tl2 Tl 0.365 0.728 0.454
```

The density of states at the Fermi level is 0.71 states/eV per atom. The formation energy is -0.271 eV per atom. Its crystal system is triclinic. The excess energy over the best structure of this formula in the dataset is 0 meV per atom.

Below is an optimized crystal structure of LaTm5Tl6, with properties calculated at the GGA-PBE level.

Cell and atoms, written as CIF:
```
data_LaTm5Tl6
_symmetry_space_group_name_H-M 'I m m m'
_symmetry_Int_Tables_number 71
_symmetry_space_group_name_Hall '-I 2 2'
_cell_length_a 5.402
_cell_length_b 7.490
_cell_length_c 16.221
_cell_angle_alpha 90.00
_cell_angle_beta 90.00
_cell_angle_gamma 90.00
loop_
_atom_site_label
_atom_site_type_symbol
_atom_site_fract_x
_atom_site_fract_y
_atom_site_fract_z
La1 La 0.000 0.000 0.000
Tm1 Tm 0.000 0.000 0.333
Tm2 Tm 0.000 0.500 0.000
Tm3 Tm 0.000 0.500 0.338
Tl1 Tl 0.000 0.235 0.500
Tl2 Tl 0.000 0.258 0.172
```

The density of states at the Fermi level is 0.83 states/eV per atom. The formation energy is -0.308 eV per atom. Its crystal system is orthorhombic.

Below is an optimized crystal structure of Nd2Y8Sc, with properties calculated at the GGA-PBE level.

Cell and atoms, written as CIF:
```
data_Nd2Y8Sc
_symmetry_space_group_name_H-M 'C 1 2/m 1'
_symmetry_Int_Tables_number 12
_symmetry_space_group_name_Hall '-C 2y'
_cell_length_a 8.956
_cell_length_b 15.893
_cell_length_c 5.876
_cell_angle_alpha 90.00
_cell_angle_beta 120.95
_cell_angle_gamma 90.00
loop_
_atom_site_label
_atom_site_type_symbol
_atom_site_fract_x
_atom_site_fract_y
_atom_site_fract_z
Nd1 Nd 0.000 0.195 0.000
Y1 Y 0.000 0.295 0.500
Y2 Y 0.090 0.000 0.302
Y3 Y 0.213 0.388 0.160
Sc1 Sc 0.000 0.500 0.500
```

The density of states at the Fermi level is 1.48 states/eV per atom. The formation energy is 0.169 eV per atom. Its crystal system is monoclinic.

Below is an optimized crystal structure of CsK2TaF6, with properties calculated at the GGA-PBE level.

Cell and atoms, written as CIF:
```
data_CsK2TaF6
_symmetry_space_group_name_H-M 'F m -3 m'
_symmetry_Int_Tables_number 225
_symmetry_space_group_name_Hall '-F 4 2 3'
_cell_length_a 9.808
_cell_length_b 9.808
_cell_length_c 9.808
_cell_angle_alpha 90.00
_cell_angle_beta 90.00
_cell_angle_gamma 90.00
loop_
_atom_site_label
_atom_site_type_symbol
_atom_site_fract_x
_atom_site_fract_y
_atom_site_fract_z
Cs1 Cs 0.000 0.000 0.000
K1 K 0.250 0.250 0.250
Ta1 Ta 0.000 0.000 0.500
F1 F 0.000 0.000 0.290
```

The density of states at the Fermi level is 1.11 states/eV per atom. Its crystal system is cubic. The value obtained for the formation energy from raw total energies is -2.593 eV/atom.

Below is an optimized crystal structure of Sr2Ga4IrRh3, with properties calculated at the GGA-PBE level.

Cell and atoms, written as CIF:
```
data_Sr2Ga4IrRh3
_symmetry_space_group_name_H-M 'P -4 m 2'
_symmetry_Int_Tables_number 115
_symmetry_space_group_name_Hall 'P -4 -2'
_cell_length_a 4.380
_cell_length_b 4.380
_cell_length_c 10.160
_cell_angle_alpha 90.00
_cell_angle_beta 90.00
_cell_angle_gamma 90.00
loop_
_atom_site_label
_atom_site_type_symbol
_atom_site_fract_x
_atom_site_fract_y
_atom_site_fract_z
Sr1 Sr 0.000 0.500 0.239
Ga1 Ga 0.000 0.000 0.500
Ga2 Ga 0.000 0.500 0.877
Ga3 Ga 0.500 0.500 0.500
Ir1 Ir 0.500 0.500 0.000
Rh1 Rh 0.000 0.000 0.000
Rh2 Rh 0.000 0.500 0.623
```

The density of states at the Fermi level is 0.44 states/eV per atom. The formation energy is -0.643 eV per atom. Its crystal system is tetragonal.

Below is an optimized crystal structure of Y2MnCoI, with properties calculated at the GGA-PBE level.

Cell and atoms, written as CIF:
```
data_Y2MnCoI
_symmetry_space_group_name_H-M 'P 4/m m m'
_symmetry_Int_Tables_number 123
_symmetry_space_group_name_Hall '-P 4 2'
_cell_length_a 5.160
_cell_length_b 5.160
_cell_length_c 4.956
_cell_angle_alpha 90.00
_cell_angle_beta 90.00
_cell_angle_gamma 90.00
loop_
_atom_site_label
_atom_site_type_symbol
_atom_site_fract_x
_atom_site_fract_y
_atom_site_fract_z
Y1 Y 0.000 0.500 0.000
Mn1 Mn 0.000 0.000 0.500
Co1 Co 0.500 0.500 0.000
I1 I 0.500 0.500 0.500
```

The density of states at the Fermi level is 1.11 states/eV per atom. Its crystal system is tetragonal. The value obtained for the formation energy from raw total energies is 0.399 eV/atom.